Crystalline BaNa4Hg2 at its relaxed geometry. Source: Alexandria, functional PBE-GGA.

For the total energy, the calculation gives -1.337 eV/atom.

It has space group Cmmm (No. 65), with a = 4.8298 Å, b = 20.3962 Å, c = 4.8010 Å, α = 90.00°, β = 90.00° and γ = 90.00°. The asymmetric unit holds Ba at (0.0000, 0.0000, 0.0000), Na at (0.0000, 0.1776, 0.5000), Na at (0.0000, 0.3225, 0.0000) and Hg at (0.0000, 0.4242, 0.5000).

Crystalline Ba3NaHg2 at its relaxed geometry. Source: Alexandria, functional PBE-GGA.

For the total energy, the calculation gives -1.649 eV/atom.

It has space group P4/mmm (No. 123), with a = 4.2438 Å, b = 4.2438 Å, c = 13.7948 Å, α = 90.00°, β = 90.00° and γ = 90.00°. The asymmetric unit holds Ba at (0.0000, 0.0000, 0.0000), Ba at (0.0000, 0.0000, 0.2970), Na at (0.5000, 0.5000, 0.5000) and Hg at (0.5000, 0.5000, 0.1592).

Crystalline Ba3Na2Hg4 at its relaxed geometry. Source: Alexandria, functional PBE-GGA.

For the total energy, the calculation gives -1.458 eV/atom.

It has space group C2/m (No. 12), with a = 10.1216 Å, b = 5.8715 Å, c = 10.5607 Å, α = 90.00°, β = 96.54° and γ = 90.00°. The asymmetric unit holds Ba at (0.0000, 0.0000, 0.0000), Ba at (0.1384, 0.5000, 0.7641), Na at (0.2122, 0.5000, 0.4067), Hg at (0.0434, 0.0000, 0.3620) and Hg at (0.1776, 0.5000, 0.0988).

Crystalline Ba5NaHg6 at its relaxed geometry. Source: Alexandria, functional PBE-GGA.

For the total energy, the calculation gives -1.527 eV/atom.

It has space group C2/m (No. 12), with a = 10.2252 Å, b = 17.5671 Å, c = 5.8609 Å, α = 90.00°, β = 124.93° and γ = 90.00°. The asymmetric unit holds Ba at (0.0000, 0.0000, 0.0000), Ba at (0.0000, 0.1685, 0.5000), Ba at (0.0000, 0.3389, 0.0000), Na at (0.0000, 0.5000, 0.5000), Hg at (0.2440, 0.0000, 0.7449) and Hg at (0.2488, 0.1665, 0.2482).

Crystalline Ba8Na2Hg3 at its relaxed geometry. Source: Alexandria, functional PBE-GGA.

For the total energy, the calculation gives -1.635 eV/atom.

It has space group P2/m (No. 10), with a = 10.8803 Å, b = 6.0182 Å, c = 10.8806 Å, α = 90.00°, β = 112.75° and γ = 90.00°. The asymmetric unit holds Ba at (0.1086, 0.0000, 0.3916), Ba at (0.1360, 0.5000, 0.8566), Ba at (0.3564, 0.5000, 0.6367), Ba at (0.3897, 0.0000, 0.1103), Na at (0.2495, 0.5000, 0.2513), Hg at (0.0000, 0.5000, 0.5000) and Hg at (0.2556, 0.0000, 0.7558).

Crystalline Ba6Na23Hg at its relaxed geometry. Source: Alexandria, functional PBE-GGA.

For the total energy, the calculation gives -1.452 eV/atom.

It has space group Fm-3m (No. 225), with a = 17.1752 Å, b = 17.1752 Å, c = 17.1752 Å, α = 90.00°, β = 90.00° and γ = 90.00°. The asymmetric unit holds Ba at (0.0000, 0.0000, 0.1999), Na at (0.0000, 0.0000, 0.5000), Na at (0.0000, 0.2500, 0.2500), Na at (0.1184, 0.1184, 0.3816), Na at (0.1718, 0.1718, 0.1718) and Hg at (0.0000, 0.0000, 0.0000).

Crystalline Ba6NaHg5 at its relaxed geometry. Source: Alexandria, functional PBE-GGA.

For the total energy, the calculation gives -1.633 eV/atom.

It has space group Immm (No. 71), with a = 6.0022 Å, b = 8.5482 Å, c = 17.9653 Å, α = 90.00°, β = 90.00° and γ = 90.00°. The asymmetric unit holds Ba at (0.0000, 0.2332, 0.0000), Ba at (0.0000, 0.2587, 0.3274), Na at (0.0000, 0.0000, 0.5000), Hg at (0.0000, 0.0000, 0.1670), Hg at (0.0000, 0.5000, 0.1569) and Hg at (0.0000, 0.5000, 0.5000).

Crystalline BaNa2Hg9 at its relaxed geometry. Source: Alexandria, functional PBE-GGA.

For the total energy, the calculation gives -0.882 eV/atom.

It has space group P-1 (No. 2), with a = 5.5880 Å, b = 7.3517 Å, c = 8.9738 Å, α = 114.00°, β = 101.06° and γ = 90.08°. The asymmetric unit holds Ba at (0.0000, 0.0000, 0.0000), Na at (0.3555, 0.3254, 0.6564), Hg at (0.0000, 0.5000, 0.0000), Hg at (0.1475, 0.9056, 0.3588), Hg at (0.1489, 0.4539, 0.3579), Hg at (0.3975, 0.8498, 0.6941) and Hg at (0.4991, 0.7104, 0.9954).

Crystalline Ba8NaHg2 at its relaxed geometry. Source: Alexandria, functional PBE-GGA.

For the total energy, the calculation gives -1.722 eV/atom.

It has space group C2/m (No. 12), with a = 10.9304 Å, b = 16.0033 Å, c = 6.8549 Å, α = 90.00°, β = 104.52° and γ = 90.00°. The asymmetric unit holds Ba at (0.0000, 0.2488, 0.0000), Ba at (0.1202, 0.5000, 0.7958), Ba at (0.1973, 0.1336, 0.5943), Na at (0.0000, 0.0000, 0.0000) and Hg at (0.0000, 0.3156, 0.5000).

Crystalline BaNa12Hg6 at its relaxed geometry. Source: Alexandria, functional PBE-GGA.

For the total energy, the calculation gives -1.193 eV/atom.

It has space group R-3 (No. 148, hexagonal axes), with a = 11.5749 Å, b = 11.5749 Å, c = 15.5187 Å, α = 90.00°, β = 90.00° and γ = 120.00°. The asymmetric unit holds Ba at (0.0000, 0.0000, 0.0000), Na at (0.0574, 0.8194, 0.4191), Na at (0.0731, 0.1979, 0.7825) and Hg at (0.0181, 0.4239, 0.7216).

Crystalline Ba3Na2Hg4 at its relaxed geometry. Source: Alexandria, functional PBE-GGA.

For the total energy, the calculation gives -1.438 eV/atom.

It has space group C2/m (No. 12), with a = 12.0961 Å, b = 5.0045 Å, c = 10.8285 Å, α = 90.00°, β = 92.18° and γ = 90.00°. The asymmetric unit holds Ba at (0.0000, 0.0000, 0.0000), Ba at (0.1263, 0.5000, 0.3816), Na at (0.1760, 0.5000, 0.7825), Hg at (0.0834, 0.0000, 0.6300) and Hg at (0.2073, 0.5000, 0.0768).

Crystalline Ba2NaHg6 at its relaxed geometry. Source: Alexandria, functional PBE-GGA.

For the total energy, the calculation gives -1.170 eV/atom.

It has space group C2/m (No. 12), with a = 9.2948 Å, b = 9.4275 Å, c = 6.4499 Å, α = 90.00°, β = 96.14° and γ = 90.00°. The asymmetric unit holds Ba at (0.1641, 0.0000, 0.3099), Na at (0.0000, 0.5000, 0.0000), Hg at (0.0000, 0.3370, 0.5000) and Hg at (0.1943, 0.1631, 0.8121).

Crystalline Ba12Na6Hg at its relaxed geometry. Source: Alexandria, functional PBE-GGA.

For the total energy, the calculation gives -1.630 eV/atom.

It has space group R-3 (No. 148, hexagonal axes), with a = 14.0032 Å, b = 14.0032 Å, c = 17.6828 Å, α = 90.00°, β = 90.00° and γ = 120.00°. The asymmetric unit holds Ba at (0.0330, 0.8502, 0.3285), Ba at (0.0546, 0.2079, 0.9053), Na at (0.0388, 0.6011, 0.2057) and Hg at (0.0000, 0.0000, 0.5000).

Crystalline Ba3Na9Hg2 at its relaxed geometry. Source: Alexandria, functional PBE-GGA.

For the total energy, the calculation gives -1.400 eV/atom.

It has space group Immm (No. 71), with a = 5.6835 Å, b = 12.9430 Å, c = 14.8793 Å, α = 90.00°, β = 90.00° and γ = 90.00°. The asymmetric unit holds Ba at (0.0000, 0.0000, 0.0000), Ba at (0.0000, 0.0000, 0.3130), Na at (0.0000, 0.2801, 0.1226), Na at (0.0000, 0.3565, 0.3503), Na at (0.0000, 0.5000, 0.0000) and Hg at (0.0000, 0.1705, 0.5000).

Crystalline Ba8Na3Hg2 at its relaxed geometry. Source: Alexandria, functional PBE-GGA.

For the total energy, the calculation gives -1.634 eV/atom.

It has space group C2/m (No. 12), with a = 20.1086 Å, b = 10.2213 Å, c = 6.7515 Å, α = 90.00°, β = 96.77° and γ = 90.00°. The asymmetric unit holds Ba at (0.1045, 0.0000, 0.0430), Ba at (0.1380, 0.2638, 0.5456), Ba at (0.2009, 0.5000, 0.0678), Na at (0.0000, 0.0000, 0.5000), Na at (0.0000, 0.3325, 0.0000) and Hg at (0.2367, 0.0000, 0.4144).

Crystalline BaNaHg4 at its relaxed geometry. Source: Alexandria, functional PBE-GGA.

For the total energy, the calculation gives -1.049 eV/atom.

It has space group F-43m (No. 216), with a = 8.8598 Å, b = 8.8598 Å, c = 8.8598 Å, α = 90.00°, β = 90.00° and γ = 90.00°. The asymmetric unit holds Ba at (0.0000, 0.0000, 0.0000), Na at (0.2500, 0.2500, 0.7500) and Hg at (0.1244, 0.1244, 0.3756).

Crystalline Ba5NaHg2 at its relaxed geometry. Source: Alexandria, functional PBE-GGA.

For the total energy, the calculation gives -1.709 eV/atom.

It has space group I4/mcm (No. 140), with a = 9.6447 Å, b = 9.6447 Å, c = 16.4697 Å, α = 90.00°, β = 90.00° and γ = 90.00°. The asymmetric unit holds Ba at (0.0000, 0.0000, 0.0000), Ba at (0.1564, 0.3436, 0.1344), Na at (0.0000, 0.0000, 0.2500) and Hg at (0.1364, 0.3636, 0.5000).

Crystalline Ba2Na5Hg4 at its relaxed geometry. Source: Alexandria, functional PBE-GGA.

For the total energy, the calculation gives -1.324 eV/atom.

It has space group Immm (No. 71), with a = 6.4639 Å, b = 10.1497 Å, c = 11.0734 Å, α = 90.00°, β = 90.00° and γ = 90.00°. The asymmetric unit holds Ba at (0.0000, 0.0000, 0.2180), Na at (0.0000, 0.5000, 0.5000), Na at (0.2458, 0.3091, 0.0000) and Hg at (0.0000, 0.3379, 0.2601).

Crystalline BaNa4Hg at its relaxed geometry. Source: Alexandria, functional PBE-GGA.

For the total energy, the calculation gives -1.355 eV/atom.

It has space group P-1 (No. 2), with a = 5.8432 Å, b = 6.8213 Å, c = 6.9186 Å, α = 111.55°, β = 90.12° and γ = 115.27°. The asymmetric unit holds Ba at (0.0000, 0.0000, 0.0000), Na at (0.2779, 0.5559, 0.6728), Na at (0.3795, 0.7597, 0.2580) and Hg at (0.0000, 0.0000, 0.5000).

Crystalline BaNaHg4 at its relaxed geometry. Source: Alexandria, functional PBE-GGA.

For the total energy, the calculation gives -1.034 eV/atom.

It has space group I-4m2 (No. 119), with a = 4.4840 Å, b = 4.4840 Å, c = 19.5351 Å, α = 90.00°, β = 90.00° and γ = 90.00°. The asymmetric unit holds Ba at (0.0000, 0.0000, 0.0000), Na at (0.0000, 0.5000, 0.2500), Hg at (0.0000, 0.0000, 0.4178) and Hg at (0.0000, 0.5000, 0.6768).